Record 1
Compound: BaScRh3
Source: Alexandria
Functional: GGA-PBE
Structure: optimized geometry

Relative energy among the computed polymorphs   1168 meV/atom
DOS(E_F)   1.2 states/eV/cell
E_form   1.32 eV/atom
Energy   -23.73 eV per formula unit
Space group   Pm-3m

a = 5.021 Å, b = 5.021 Å, c = 5.021 Å
α = 90.00°, β = 90.00°, γ = 90.00°
Element x y z (fractional)
Ba  0.000  0.000  0.000
Sc  0.500  0.500  0.500
Rh  0.000  0.000  0.500
Rh  0.000  0.500  0.000
Rh  0.500  0.000  0.000

Record 2
Compound: LiNiTe2
Source: Alexandria
Functional: GGA-PBE
Structure: optimized geometry

DOS(E_F)   9.9 states/eV/cell
Energy   -15.01 eV per formula unit
Space group   R-3m

a = 3.805 Å, b = 3.805 Å, c = 24.426 Å
α = 90.00°, β = 90.00°, γ = 120.00°
Element x y z (fractional)
Li  0.000  0.000  0.000
Li  0.333  0.667  0.667
Li  0.667  0.333  0.333
Ni  0.000  0.000  0.500
Ni  0.333  0.667  0.167
Ni  0.667  0.333  0.833
Te  0.000  0.000  0.109
Te  0.000  0.000  0.891
Te  0.333  0.667  0.557
Te  0.333  0.667  0.776
Te  0.667  0.333  0.224
Te  0.667  0.333  0.443

Record 3
Compound: InGeAs2Br
Source: Alexandria
Functional: GGA-PBE
Structure: optimized geometry

Relative energy among the computed polymorphs   359 meV/atom
DOS(E_F)   5.4 states/eV/cell
Energy   -14.75 eV per formula unit
Space group   P4/mmm

a = 5.251 Å, b = 5.251 Å, c = 5.378 Å
α = 90.00°, β = 90.00°, γ = 90.00°
Element x y z (fractional)
In  0.000  0.000  0.000
Ge  0.500  0.500  0.500
As  0.000  0.500  0.000
As  0.500  0.000  0.000
Br  0.000  0.000  0.500

Record 4
Compound: PrCo5Si2
Source: Alexandria
Functional: GGA-PBE
Structure: optimized geometry

DOS(E_F)   18.5 states/eV/cell
Energy   -54.03 eV per formula unit
Space group   Immm

a = 3.668 Å, b = 6.508 Å, c = 9.176 Å
α = 90.00°, β = 90.00°, γ = 90.00°
Element x y z (fractional)
Pr  0.000  0.000  0.000
Pr  0.500  0.500  0.500
Co  0.000  0.186  0.356
Co  0.000  0.186  0.644
Co  0.000  0.500  0.000
Co  0.000  0.814  0.356
Co  0.000  0.814  0.644
Co  0.500  0.000  0.500
Co  0.500  0.314  0.144
Co  0.500  0.314  0.856
Co  0.500  0.686  0.144
Co  0.500  0.686  0.856
Si  0.000  0.500  0.240
Si  0.000  0.500  0.760
Si  0.500  0.000  0.260
Si  0.500  0.000  0.740

Record 5
Compound: KCu2SbI6
Source: Alexandria
Functional: GGA-PBE
Structure: optimized geometry

Energy   -27.17 eV per formula unit
Space group   C2/c

a = 10.014 Å, b = 10.014 Å, c = 7.778 Å
α = 95.22°, β = 95.22°, γ = 90.29°
Element x y z (fractional)
K  0.084  0.916  0.750
K  0.916  0.084  0.250
Cu  0.244  0.406  0.705
Cu  0.406  0.244  0.205
Cu  0.594  0.756  0.795
Cu  0.756  0.594  0.295
Sb  0.278  0.722  0.250
Sb  0.722  0.278  0.750
I  0.019  0.248  0.655
I  0.154  0.606  0.896
I  0.248  0.019  0.155
I  0.286  0.436  0.381
I  0.394  0.846  0.604
I  0.436  0.286  0.881
I  0.564  0.714  0.119
I  0.606  0.154  0.396
I  0.714  0.564  0.619
I  0.752  0.981  0.845
I  0.846  0.394  0.104
I  0.981  0.752  0.345

Record 6
Compound: TaSn2ClO
Source: Alexandria
Functional: GGA-PBE
Structure: optimized geometry

DOS(E_F)   5.3 states/eV/cell
Energy   -20.45 eV per formula unit
Space group   P4/mmm

a = 5.438 Å, b = 5.438 Å, c = 4.422 Å
α = 90.00°, β = 90.00°, γ = 90.00°
Element x y z (fractional)
Ta  0.000  0.000  0.000
Sn  0.000  0.500  0.500
Sn  0.500  0.000  0.500
Cl  0.000  0.000  0.500
O  0.500  0.500  0.000

energy of number 5 (KCu2SbI6)? -27.17 eV per formula unit